1.
Compound: AgBr
Source: the Open Quantum Materials Database
Functional: PBE-GGA
Structure: optimized geometry

abc: 3.851 3.851 3.765
angles: 90.00 90.00 120.00
Element x y z (fractional)
Ag 0.667 0.333 0.750
Br 0.333 0.667 0.250

***

2.
Compound: TbYGa5
Source: the Open Quantum Materials Database
Functional: PBE-GGA
Structure: optimized geometry

abc: 4.209 4.209 8.454
angles: 90.00 90.00 90.00
Element x y z (fractional)
Ga 0.500 0.500 0.000
Ga 0.500 0.000 0.253
Ga 0.000 0.500 0.253
Ga 0.500 0.000 0.747
Ga 0.000 0.500 0.747
Tb 0.000 0.000 0.500
Y 0.000 0.000 0.000

***

Looking at VASP energy for the records above, in order, we have -4.98 -29.32 eV per cell.